A plane-wave DFT calculation with PBE was carried out for LiPr2GaPt6 after structural relaxation.

For the theoretical density, the calculation gives 11.36 Mg/m³. The calculation puts the total magnetization at 0.00 μB/cell. Its energy is -5.794 eV per atom.

Geometry as CIF:
```
data_LiPr2GaPt6
_chemical_formula_sum 'Li2 Pr4 Ga2 Pt12'
_symmetry_space_group_name_H-M 'C 1 2/m 1'
_symmetry_Int_Tables_number 12
_cell_length_a 9.825
_cell_length_b 5.672
_cell_length_c 8.659
_cell_angle_alpha 90.00
_cell_angle_beta 112.16
_cell_angle_gamma 90.00
loop_
_symmetry_equiv_pos_as_xyz
'x,y,z'
'-x,-y,-z'
'-x,y,-z'
'x,-y,z'
'x+1/2,y+1/2,z'
'-x+1/2,-y+1/2,-z'
'-x+1/2,y+1/2,-z'
'x+1/2,-y+1/2,z'
loop_
_atom_site_label
_atom_site_fract_x
_atom_site_fract_y
_atom_site_fract_z
Li1 0.000 0.000 0.000
Pr1 0.203 0.000 0.611
Ga1 0.000 0.500 0.500
Pt1 0.007 0.245 0.265
Pt2 0.248 0.500 0.735
```